(1)
Entry from the Alexandria database: GdDy3Rh after structural relaxation (PBE).

a b c (Å): 5.406 5.406 5.406
angles (deg): 90.00 90.00 90.00
Last column: magnetic moment on the atom in μB.
Sites, in units of the cell vectors:
1 Dy 0.000 0.500 0.000  0.10
2 Dy 0.500 0.000 0.000  0.10
3 Dy 0.000 0.000 0.500  0.10
4 Rh 0.000 0.000 0.000  0.02
5 Gd 0.500 0.500 0.500  7.27

Computed properties:
DFT formation energy = -119 kJ/mol of formula units
DFT total energy = -36.47 eV/cell
Crystal system = cubic

=====

(2)
Entry from the Alexandria database: PmTlH after structural relaxation (PBE).

a b c (Å): 4.222 4.222 7.058
angles (deg): 90.00 90.00 90.00
Sites, in units of the cell vectors:
1 Pm 0.500 0.000 0.639
2 Pm 0.000 0.500 0.361
3 Tl 0.500 0.000 0.104
4 Tl 0.000 0.500 0.896
5 H 0.000 0.000 0.500
6 H 0.500 0.500 0.500

Computed properties:
DFT total energy = -23.29 eV/cell
Crystal system = tetragonal

=====

Which of these has the lowest DFT total energy? GdDy3Rh